No. 1
! PBE Rb3CuS3, relaxed; values from VASP
&SYSTEM
  ibrav = 0, nat = 7, ntyp = 3
/
ATOMIC_SPECIES
Rb 85.47 Rb.upf
Cu 63.55 Cu.upf
S 32.06 S.upf
CELL_PARAMETERS angstrom
-1.4482 0.9417 6.3204
-1.8605 -6.3187 -1.7490
6.7152 0.7995 -0.8447
ATOMIC_POSITIONS crystal
Rb 0.9990 0.4359 0.0000
Cu 0.3596 0.0000 0.0000
Rb 0.5631 0.5641 0.5641
S 0.4637 0.0000 0.3369
S 0.4637 0.3369 0.0000
S 0.1268 0.6631 0.6631
Rb 0.9990 0.0000 0.4359
! Formation energy without anion corrections   -0.641 eV per atom
! DFT total energy   -3.41 eV/atom

No. 2
! PBE HSCl2F, relaxed; values from VASP
&SYSTEM
  ibrav = 0, nat = 5, ntyp = 4
/
ATOMIC_SPECIES
F 19.00 F.upf
H 1.01 H.upf
S 32.06 S.upf
Cl 35.45 Cl.upf
CELL_PARAMETERS angstrom
-3.1389 -4.7932 0.9607
3.0371 -2.8067 -4.0803
2.3389 -1.0394 2.4558
ATOMIC_POSITIONS crystal
F 0.0000 0.0000 0.0000
H 0.5000 0.5000 0.5000
S 0.0000 0.0000 0.5000
Cl 0.5000 0.0000 0.0000
Cl 0.0000 0.5000 0.0000
! Distance to the lowest polymorph of the same formula   285 meV/atom
! DFT total energy   -1.71 eV/atom

Q: DFT total energy of number 1 (Rb3CuS3)?
A: -3.41 eV/atom

Q: The highest DFT total energy belongs to which entry?
A: HSCl2F

Q: The lowest DFT total energy belongs to which entry?
A: Rb3CuS3

Q: Among the records above, which one has the lowest DFT total energy?
A: Rb3CuS3